# 1
Nd2Y4Er5 | PBE | relaxed

Structure (CIF):
```
data_Nd2Y4Er5
_chemical_formula_sum 'Nd2 Y4 Er5'
_space_group_name_H-M_alt 'P 1'
_space_group_IT_number 1
_cell_length_a 12.602
_cell_length_b 12.602
_cell_length_c 12.602
_cell_angle_alpha 164.01
_cell_angle_beta 138.03
_cell_angle_gamma 45.19
loop_
_space_group_symop_operation_xyz
'x,y,z'
loop_
_atom_site_label
_atom_site_fract_x
_atom_site_fract_y
_atom_site_fract_z
Nd1 0.234 0.234 0.000
Nd2 0.766 0.766 0.000
Y1 0.099 0.099 0.000
Y2 0.191 0.500 0.691
Y3 0.809 0.500 0.309
Y4 0.901 0.901 0.000
Er1 0.167 0.359 0.808
Er2 0.448 0.641 0.808
Er3 0.500 0.000 0.500
Er4 0.552 0.359 0.192
Er5 0.833 0.641 0.192
```

- magnetization (μB per atom) = 0.000
- energy relative to the elements (eV/atom) = 0.233
- distance to the lowest polymorph of the same formula (meV per atom) = 175.0
- VASP energy (Ha/atom) = -0.186



# 2
Cs2InHg7 | PBE | relaxed

Structure (CIF):
```
data_Cs2InHg7
_chemical_formula_sum 'Cs2 In1 Hg7'
_space_group_name_H-M_alt 'P 1'
_space_group_IT_number 1
_cell_length_a 5.201
_cell_length_b 5.201
_cell_length_c 13.008
_cell_angle_alpha 90.00
_cell_angle_beta 90.00
_cell_angle_gamma 90.00
loop_
_space_group_symop_operation_xyz
'x,y,z'
loop_
_atom_site_label
_atom_site_fract_x
_atom_site_fract_y
_atom_site_fract_z
Cs1 0.000 0.500 0.248
Cs2 0.500 0.000 0.752
In1 0.000 0.000 0.500
Hg1 0.000 0.000 0.000
Hg2 0.000 0.500 0.624
Hg3 0.000 0.500 0.864
Hg4 0.500 0.000 0.136
Hg5 0.500 0.000 0.376
Hg6 0.500 0.500 0.000
Hg7 0.500 0.500 0.500
```

- magnetization (μB per atom) = 0.000
- energy relative to the elements (eV/atom) = -0.186
- VASP energy (Ha/atom) = -0.031



# 3
Dy2Er2TmMg5 | PBE | relaxed

Structure (CIF):
```
data_Dy2Er2TmMg5
_chemical_formula_sum 'Dy4 Er4 Tm2 Mg10'
_space_group_name_H-M_alt 'P 1'
_space_group_IT_number 1
_cell_length_a 10.508
_cell_length_b 10.508
_cell_length_c 5.032
_cell_angle_alpha 90.00
_cell_angle_beta 90.00
_cell_angle_gamma 90.00
loop_
_space_group_symop_operation_xyz
'x,y,z'
loop_
_atom_site_label
_atom_site_fract_x
_atom_site_fract_y
_atom_site_fract_z
Dy1 0.178 0.322 0.000
Dy2 0.322 0.822 0.000
Dy3 0.678 0.178 0.000
Dy4 0.822 0.678 0.000
Er1 0.118 0.618 0.000
Er2 0.382 0.118 0.000
Er3 0.618 0.882 0.000
Er4 0.882 0.382 0.000
Tm1 0.000 0.000 0.000
Tm2 0.500 0.500 0.000
Mg1 0.000 0.500 0.500
Mg2 0.070 0.803 0.500
Mg3 0.197 0.070 0.500
Mg4 0.303 0.570 0.500
Mg5 0.430 0.303 0.500
Mg6 0.500 0.000 0.500
Mg7 0.570 0.697 0.500
Mg8 0.697 0.430 0.500
Mg9 0.803 0.930 0.500
Mg10 0.930 0.197 0.500
```

- magnetization (μB per atom) = 0.000
- energy relative to the elements (eV/atom) = 0.082
- VASP energy (Ha/atom) = -0.110



# 4
Er2GaCu3Ni12 | PBE | relaxed

Structure (CIF):
```
data_Er2GaCu3Ni12
_chemical_formula_sum 'Er2 Ga1 Cu3 Ni12'
_space_group_name_H-M_alt 'P 1'
_space_group_IT_number 1
_cell_length_a 11.429
_cell_length_b 11.429
_cell_length_c 11.429
_cell_angle_alpha 25.80
_cell_angle_beta 25.80
_cell_angle_gamma 25.80
loop_
_space_group_symop_operation_xyz
'x,y,z'
loop_
_atom_site_label
_atom_site_fract_x
_atom_site_fract_y
_atom_site_fract_z
Er1 0.141 0.141 0.141
Er2 0.859 0.859 0.859
Ga1 0.500 0.500 0.500
Cu1 0.000 0.500 0.500
Cu2 0.500 0.000 0.500
Cu3 0.500 0.500 0.000
Ni1 0.100 0.100 0.633
Ni2 0.100 0.633 0.100
Ni3 0.112 0.609 0.609
Ni4 0.367 0.900 0.900
Ni5 0.391 0.391 0.888
Ni6 0.391 0.888 0.391
Ni7 0.609 0.112 0.609
Ni8 0.609 0.609 0.112
Ni9 0.633 0.100 0.100
Ni10 0.888 0.391 0.391
Ni11 0.900 0.367 0.900
Ni12 0.900 0.900 0.367
```

- magnetization (μB per atom) = 0.202
- energy relative to the elements (eV/atom) = 0.069
- VASP energy (Ha/atom) = -0.189



# 5
MnSi2Ru | PBE | relaxed

Structure (CIF):
```
data_MnSi2Ru
_chemical_formula_sum 'Mn1 Si2 Ru1'
_space_group_name_H-M_alt 'P 1'
_space_group_IT_number 1
_cell_length_a 4.555
_cell_length_b 4.555
_cell_length_c 4.219
_cell_angle_alpha 104.91
_cell_angle_beta 104.91
_cell_angle_gamma 36.33
loop_
_space_group_symop_operation_xyz
'x,y,z'
loop_
_atom_site_label
_atom_site_fract_x
_atom_site_fract_y
_atom_site_fract_z
Mn1 0.000 0.000 0.000
Si1 0.491 0.491 0.482
Si2 0.742 0.742 0.122
Ru1 0.231 0.231 0.612
```

- magnetization (μB per atom) = 0.480
- VASP energy (Ha/atom) = -0.285
- energy relative to the elements, uncorrected (eV per atom) = -0.433



# 6
Ac4TbEr | PBE | relaxed

Structure (CIF):
```
data_Ac4TbEr
_chemical_formula_sum 'Ac4 Tb1 Er1'
_space_group_name_H-M_alt 'P 1'
_space_group_IT_number 1
_cell_length_a 3.719
_cell_length_b 5.833
_cell_length_c 11.224
_cell_angle_alpha 90.00
_cell_angle_beta 90.00
_cell_angle_gamma 90.00
loop_
_space_group_symop_operation_xyz
'x,y,z'
loop_
_atom_site_label
_atom_site_fract_x
_atom_site_fract_y
_atom_site_fract_z
Ac1 0.000 0.000 0.157
Ac2 0.000 0.000 0.843
Ac3 0.000 0.500 0.342
Ac4 0.000 0.500 0.658
Tb1 0.500 0.000 0.500
Er1 0.500 0.500 0.000
```

- magnetization (μB per atom) = 0.000
- energy relative to the elements (eV/atom) = 0.170
- distance to the lowest polymorph of the same formula (meV per atom) = 0.0
- VASP energy (Ha/atom) = -0.151